La3Tb2Pm4 | GGA-PBE | optimized geometry

Cell: 3.649 3.649 27.410 Å, 90.00 90.00 120.00°
Element x y z (fractional)
La  0.000  0.000  0.000
La  0.000  0.000  0.336
La  0.667  0.333  0.670
Tb  0.667  0.333  0.105
Tb  0.667  0.333  0.887
Pm  0.000  0.000  0.557
Pm  0.000  0.000  0.784
Pm  0.667  0.333  0.228
Pm  0.667  0.333  0.450

energy relative to the elements	0.07	eV per atom
distance to the lowest polymorph of the same formula	51	meV/atom